Entry 1:
Material: NaSmAgPd
Method: DFT, PBE-GGA
State: optimized geometry

abc: 5.029 5.029 5.029
angles: 60.00 60.00 60.00
Atoms (fractional coordinates):
1 Na 0.000 0.000 0.000
2 Sm 0.500 0.500 0.500
3 Ag 0.250 0.250 0.250
4 Pd 0.750 0.750 0.750

DFT total energy	-15.2	eV per cell
ΔH_f (0 K)	-0.29	eV/atom

=====

Entry 2:
Material: SrMg2In
Method: DFT, PBE-GGA
State: optimized geometry

abc: 5.380 5.380 5.380
angles: 60.00 60.00 60.00
Atoms (fractional coordinates):
1 Sr 0.000 0.000 0.000
2 Mg 0.500 0.500 0.500
3 Mg 0.750 0.750 0.750
4 In 0.250 0.250 0.250

DFT total energy	-8.3	eV per cell
ΔH_f (0 K)	-0.18	eV/atom

=====

Entry 3:
Material: Cs2KNaCd
Method: DFT, PBE-GGA
State: optimized geometry

abc: 7.816 7.816 5.987
angles: 90.00 90.00 90.00
Atoms (fractional coordinates):
1 Cs 0.000 0.500 0.000
2 Cs 0.500 0.000 0.000
3 K 0.000 0.000 0.500
4 Na 0.500 0.500 0.000
5 Cd 0.500 0.500 0.500

energy above the most stable polymorph in this dataset	63	meV/atom
DFT total energy	-4.5	eV per cell
ΔH_f (0 K)	0.11	eV/atom

=====

| no. | magnetization (μB per formula unit) |
| --- | --- |
| 1 | 0.00 |
| 2 | 0.00 |
| 3 | 0.00 |